Entry from Alexandria: an optimized crystal structure of MnTl2ReO4 (PBE with a Hubbard U).

Space-group type = I-4, No. 82
Final energy = -52.93 eV/f.u.

```
MnTl2ReO4
1.0
5.779 0.158 0.243
-2.319 5.296 -0.243
-2.319 -2.353 4.750
Tl O Re Mn
2 4 1 1
direct
0.500 0.750 0.250 Tl
0.000 0.000 0.000 Tl
0.648 0.314 0.484 O
0.830 0.516 0.164 O
0.170 0.334 0.686 O
0.352 0.836 0.666 O
0.000 0.500 0.500 Re
0.500 0.250 0.750 Mn
```